Record 1
NbTlTc2Ir | GGA-PBE | relaxed

The structure in POSCAR format:
```
NbTlTc2Ir
1.0
-3.124 3.608 -0.585
-0.539 -1.223 -4.665
-3.616 -2.939 1.188
Nb Tc Ir Tl
1 2 1 1
Direct
0.000 0.000 0.000
0.000 0.000 0.500
0.500 0.000 0.000
0.000 0.500 0.000
0.500 0.500 0.500
```

Values from the calculation:
Calculated formation energy (eV per atom): 1.538
Crystal system: tetragonal
Symmetry: P4/mmm (123)

---

Record 2
Ce5H2Pb5 | GGA-PBE | relaxed

The structure in POSCAR format:
```
Ce5H2Pb5
1.0
4.604 0.000 0.000
-2.302 5.986 0.153
0.000 -2.866 11.475
Ce H Pb
5 2 5
Direct
0.378 0.755 0.179
0.114 0.229 0.338
0.886 0.771 0.662
0.622 0.245 0.821
0.000 0.000 0.000
0.955 0.909 0.181
0.045 0.091 0.819
0.177 0.354 0.626
0.660 0.319 0.130
0.340 0.681 0.870
0.823 0.646 0.374
0.500 0.000 0.500
```

Values from the calculation:
Total DFT energy (no corrections) (eV per atom): -4.955
Crystal system: monoclinic
Symmetry: C2/m (12)

---

Record 3
HoAl3Ga2 | GGA-PBE | relaxed

The structure in POSCAR format:
```
HoAl3Ga2
1.0
-3.961 -1.392 -0.349
1.307 -3.921 0.816
-0.954 1.058 6.608
Ga Al Ho
2 3 1
Direct
0.500 0.000 0.699
0.000 0.500 0.301
0.000 0.500 0.679
0.500 0.000 0.321
0.000 0.000 0.000
0.500 0.500 0.000
```

Values from the calculation:
Calculated formation energy (eV per atom): -0.179
Crystal system: tetragonal
Symmetry: P-4m2 (115)

---

Record 4
AcAgAu4 | GGA-PBE | relaxed

The structure in POSCAR format:
```
AcAgAu4
1.0
-3.652 -4.327 -0.557
1.951 -5.311 -0.597
-0.630 -3.754 4.228
Au Ac Ag
4 1 1
Direct
0.626 0.626 0.626
0.122 0.626 0.626
0.626 0.122 0.626
0.626 0.626 0.122
0.250 0.250 0.250
0.000 0.000 0.000
```

Values from the calculation:
Calculated formation energy (eV per atom): -0.440
Crystal system: cubic
Symmetry: F-43m (216)

---

Record 5
TeAs2Ir | GGA-PBE | relaxed

The structure in POSCAR format:
```
TeAs2Ir
1.0
4.658 -0.020 0.000
-0.895 4.572 0.000
-1.882 -2.276 3.603
As Ir Te
2 1 1
Direct
0.000 0.000 0.000
0.500 0.500 0.000
0.250 0.750 0.500
0.750 0.250 0.500
```

Values from the calculation:
Crystal system: tetragonal
Symmetry: I4/mmm (139)
Formation energy (no corrections) (eV/f.u.): 2.2

---

Record 6
Li2NbGaAu | GGA-PBE | relaxed

The structure in POSCAR format:
```
Li2NbGaAu
1.0
-2.411 -3.708 -2.291
3.155 0.389 -3.951
3.065 -3.304 2.122
Ga Li Nb Au
1 2 1 1
Direct
0.000 0.500 0.000
0.500 0.000 0.000
0.000 0.000 0.500
0.000 0.000 0.000
0.500 0.500 0.500
```

Values from the calculation:
Calculated formation energy (eV per atom): 1.117
Crystal system: tetragonal
Symmetry: P4/mmm (123)